Entry 1:
This record from Alexandria via LeMat-Bulk describes a geometry-optimized K12Hg6Pd structure. The functional is PBE.

Calculated values
Total magnetic moment = 0.000 μB/cell
Crystal system = trigonal

```
K12Hg6Pd
1.0
6.0632 3.5006 6.7198
-6.0632 3.5006 6.7198
0.0000 -7.0012 6.7198
K Hg Pd
12 6 1
direct
0.1228 0.1228 0.5615
0.1228 0.5615 0.1228
0.1842 0.5512 0.5512
0.4385 0.8772 0.8772
0.4488 0.4488 0.8158
0.4488 0.8158 0.4488
0.5512 0.1842 0.5512
0.5512 0.5512 0.1842
0.5615 0.1228 0.1228
0.8158 0.4488 0.4488
0.8772 0.4385 0.8772
0.8772 0.8772 0.4385
0.0835 0.8016 0.8016
0.1984 0.1984 0.9165
0.1984 0.9165 0.1984
0.8016 0.0835 0.8016
0.8016 0.8016 0.0835
0.9165 0.1984 0.1984
0.0000 0.0000 0.0000
```

***

Entry 2:
This record from Alexandria via LeMat-Bulk describes a geometry-optimized K2HgPd2 structure. The functional is PBE.

Calculated values
Total magnetic moment = 0.000 μB/cell
Crystal system = tetragonal

```
K2HgPd2
1.0
-1.8785 1.8785 10.5676
1.8785 -1.8785 10.5676
1.8785 1.8785 -10.5676
K Hg Pd
2 1 2
direct
0.1240 0.1240 0.0000
0.8760 0.8760 0.0000
0.5000 0.5000 0.0000
0.2500 0.7500 0.5000
0.7500 0.2500 0.5000
```

***

Entry 3:
This record from Alexandria via LeMat-Bulk describes a geometry-optimized KHg5Pd structure. The functional is PBE.

Calculated values
Total magnetic moment = 0.000 μB/cell
Crystal system = tetragonal

```
KHg5Pd
1.0
4.9017 0.0000 0.0000
0.0000 4.9017 0.0000
0.0000 0.0000 7.9675
K Hg Pd
1 5 1
direct
0.0000 0.0000 0.0000
0.0000 0.5000 0.3062
0.0000 0.5000 0.6938
0.5000 0.0000 0.3062
0.5000 0.0000 0.6938
0.5000 0.5000 0.0000
0.0000 0.0000 0.5000
```

***

Entry 4:
This record from Alexandria via LeMat-Bulk describes a geometry-optimized K4Hg7Pd structure. The functional is PBE.

Calculated values
Total magnetic moment = 0.000 μB/cell
Crystal system = monoclinic

```
K4Hg7Pd
1.0
8.1730 -2.7098 0.0000
8.1730 2.7098 0.0000
-5.4717 0.0000 9.0868
K Hg Pd
4 7 1
direct
0.0649 0.0649 0.2436
0.2366 0.2366 0.7529
0.7634 0.7634 0.2471
0.9351 0.9351 0.7564
0.0000 0.0000 0.5000
0.1704 0.1704 0.0203
0.3261 0.3261 0.4989
0.3971 0.3971 0.1856
0.6029 0.6029 0.8144
0.6739 0.6739 0.5011
0.8296 0.8296 0.9797
0.5000 0.5000 0.5000
```

***

Density of states at the Fermi level, respectively: 0.795 0.650 0.302 0.441 states/eV per atom.
Calculated total energy, respectively: -1.15 -2.56 -1.25 -1.20 eV/atom.
Energy of formation from the pure elements, respectively: -0.084 0.021 -0.135 -0.222 eV per atom.